Material: BePCl2
Method: DFT, PBE
State: relaxed

a b c (Å): 6.4766 6.4766 6.4766
angles (deg): 90.00 90.00 90.00
Last column: nearest neighbours and their distance in Å.
Space group F-43m (No. 216)
One atom of each set of equivalent atoms:
Be 0.0000 0.0000 0.0000 [4 per cell]  4 Cl 2.80, 4 P 2.80
P 0.2500 0.2500 0.2500 [4 per cell]  4 Cl 2.80, 4 Be 2.80
Cl 0.0000 0.0000 0.5000 [4 per cell]  4 P 2.80, 4 Cl 2.80
Cl 0.2500 0.2500 0.7500 [4 per cell]  4 Cl 2.80, 4 Be 2.80

Summary:
* total moment: 0.000 μB per formula unit
* formation energy from raw total energies: 0.901 eV/atom

Material: BePCl4
Method: DFT, PBE
State: relaxed

a b c (Å): 8.2559 8.2559 8.2559
angles (deg): 90.00 90.00 90.00
Last column: nearest neighbours and their distance in Å.
Space group F-43m (No. 216)
One atom of each set of equivalent atoms:
Be 0.0000 0.0000 0.0000 [4 per cell]  12 Cl 3.42, 4 P 3.57
P 0.2500 0.2500 0.2500 [4 per cell]  12 Cl 3.42, 4 Be 3.57
Cl 0.1256 0.1256 0.6256 [16 per cell]  6 Cl 2.91-2.93

Summary:
* total moment: 3.080 μB per formula unit
* formation energy from raw total energies: 1.318 eV/atom

Copy entry 1 word for word.
Material: BePCl2
Method: DFT, PBE
State: relaxed

a b c (Å): 6.4766 6.4766 6.4766
angles (deg): 90.00 90.00 90.00
Last column: nearest neighbours and their distance in Å.
Space group F-43m (No. 216)
One atom of each set of equivalent atoms:
Be 0.0000 0.0000 0.0000 [4 per cell]  4 Cl 2.80, 4 P 2.80
P 0.2500 0.2500 0.2500 [4 per cell]  4 Cl 2.80, 4 Be 2.80
Cl 0.0000 0.0000 0.5000 [4 per cell]  4 P 2.80, 4 Cl 2.80
Cl 0.2500 0.2500 0.7500 [4 per cell]  4 Cl 2.80, 4 Be 2.80

Summary:
* total moment: 0.000 μB per formula unit
* formation energy from raw total energies: 0.901 eV/atom

> Among the records above, which one has the lowest total moment?

BePCl2

> What is the formula in the second record?

BePCl4